# 1
## Li3CdPt (SCAN)

Data for Li3CdPt at its PBEsol-relaxed geometry. Values from VASP.

Calculated values
**Volume**: 102 Å³/cell

Cell and atoms, written as Quantum ESPRESSO input:
```
&SYSTEM
  ibrav = 0, nat = 5, ntyp = 3
/
ATOMIC_SPECIES
Li 6.94 Li.upf
Cd 112.41 Cd.upf
Pt 195.08 Pt.upf
CELL_PARAMETERS angstrom
4.674 0.000 0.000
0.000 4.674 0.000
0.000 0.000 4.674
ATOMIC_POSITIONS crystal
Li 0.000 0.000 0.500
Li 0.000 0.500 0.000
Li 0.500 0.000 0.000
Cd 0.500 0.500 0.500
Pt 0.000 0.000 0.000
```



# 2
## LiCaScCr2 (SCAN)

Data for LiCaScCr2 at its PBEsol-relaxed geometry. Values from VASP.

Calculated values
**Volume**: 123 Å³/cell

Cell and atoms, written as Quantum ESPRESSO input:
```
&SYSTEM
  ibrav = 0, nat = 5, ntyp = 4
/
ATOMIC_SPECIES
Li 6.94 Li.upf
Ca 40.08 Ca.upf
Sc 44.96 Sc.upf
Cr 52.00 Cr.upf
CELL_PARAMETERS angstrom
4.721 0.000 0.000
0.000 4.721 0.000
0.000 0.000 5.500
ATOMIC_POSITIONS crystal
Li 0.000 0.000 0.000
Ca 0.500 0.500 0.000
Sc 0.500 0.500 0.500
Cr 0.000 0.500 0.500
Cr 0.500 0.000 0.500
```



# 3
## La2AgTePb (SCAN)

Data for La2AgTePb at its PBEsol-relaxed geometry. Values from VASP.

Calculated values
**E_form (uncorrected)**: 0.189 eV per atom
**Volume**: 208 Å³/cell

Cell and atoms, written as Quantum ESPRESSO input:
```
&SYSTEM
  ibrav = 0, nat = 5, ntyp = 4
/
ATOMIC_SPECIES
La 138.91 La.upf
Ag 107.87 Ag.upf
Te 127.60 Te.upf
Pb 207.20 Pb.upf
CELL_PARAMETERS angstrom
6.027 0.000 0.000
0.000 6.027 0.000
0.000 0.000 5.727
ATOMIC_POSITIONS crystal
La 0.000 0.500 0.000
La 0.500 0.000 0.000
Ag 0.000 0.000 0.500
Te 0.500 0.500 0.500
Pb 0.500 0.500 0.000
```



# 4
## LiVF6 (SCAN)

Data for LiVF6 at its PBEsol-relaxed geometry. Values from VASP.

Calculated values
**E_form (uncorrected)**: -2.905 eV per atom
**Volume**: 124 Å³/cell

Cell and atoms, written as Quantum ESPRESSO input:
```
&SYSTEM
  ibrav = 0, nat = 8, ntyp = 3
/
ATOMIC_SPECIES
Li 6.94 Li.upf
V 50.94 V.upf
F 19.00 F.upf
CELL_PARAMETERS angstrom
5.497 0.000 0.000
-2.749 4.761 0.000
0.000 0.000 4.739
ATOMIC_POSITIONS crystal
Li 0.000 0.000 0.000
V 0.333 0.667 0.361
F 0.027 0.513 0.563
F 0.180 0.361 0.127
F 0.180 0.820 0.127
F 0.487 0.513 0.563
F 0.487 0.973 0.563
F 0.639 0.820 0.127
```



# 5
## Zr3CdH (SCAN)

Data for Zr3CdH at its PBEsol-relaxed geometry. Values from VASP.

Calculated values
**Volume**: 86 Å³/cell

Cell and atoms, written as Quantum ESPRESSO input:
```
&SYSTEM
  ibrav = 0, nat = 5, ntyp = 3
/
ATOMIC_SPECIES
Zr 91.22 Zr.upf
Cd 112.41 Cd.upf
H 1.01 H.upf
CELL_PARAMETERS angstrom
4.409 0.000 0.000
0.000 4.409 0.000
0.000 0.000 4.409
ATOMIC_POSITIONS crystal
Zr 0.000 0.000 0.500
Zr 0.000 0.500 0.000
Zr 0.500 0.000 0.000
Cd 0.500 0.500 0.500
H 0.000 0.000 0.000
```



# 6
## NaCoPO4 (SCAN)

Data for NaCoPO4 at its PBEsol-relaxed geometry. Values from VASP.

Calculated values
**E_form (uncorrected)**: -2.163 eV per atom
**Volume**: 385 Å³/cell
**Energy relative to the lowest polymorph listed for this composition**: 9 meV per atom

Cell and atoms, written as Quantum ESPRESSO input:
```
&SYSTEM
  ibrav = 0, nat = 28, ntyp = 4
/
ATOMIC_SPECIES
Na 22.99 Na.upf
Co 58.93 Co.upf
P 30.97 P.upf
O 16.00 O.upf
CELL_PARAMETERS angstrom
5.236 0.000 0.000
0.000 9.964 0.000
-5.208 0.000 7.372
ATOMIC_POSITIONS crystal
Na 0.199 0.120 0.482
Na 0.199 0.380 0.982
Na 0.801 0.620 0.018
Na 0.801 0.880 0.518
Co 0.305 0.669 0.510
Co 0.305 0.831 0.010
Co 0.695 0.169 0.990
Co 0.695 0.331 0.490
P 0.420 0.099 0.219
P 0.420 0.401 0.719
P 0.580 0.599 0.281
P 0.580 0.901 0.781
O 0.113 0.133 0.199
O 0.113 0.367 0.699
O 0.303 0.645 0.087
O 0.303 0.855 0.587
O 0.421 0.172 0.069
O 0.421 0.328 0.569
O 0.464 0.554 0.715
O 0.464 0.946 0.215
O 0.536 0.054 0.785
O 0.536 0.446 0.285
O 0.579 0.672 0.431
O 0.579 0.828 0.931
O 0.697 0.145 0.413
O 0.697 0.355 0.913
O 0.887 0.633 0.301
O 0.887 0.867 0.801
```



# 7
## YInP (SCAN)

Data for YInP at its PBEsol-relaxed geometry. Values from VASP.

Calculated values
**Volume**: 66 Å³/cell

Cell and atoms, written as Quantum ESPRESSO input:
```
&SYSTEM
  ibrav = 0, nat = 3, ntyp = 3
/
ATOMIC_SPECIES
Y 88.91 Y.upf
In 114.82 In.upf
P 30.97 P.upf
CELL_PARAMETERS angstrom
0.000 2.691 5.481
2.251 0.000 5.481
2.251 2.691 0.000
ATOMIC_POSITIONS crystal
Y 0.000 0.000 0.000
In 0.710 0.710 0.290
P 0.365 0.365 0.635
```



# 8
## SbPS2 (SCAN)

Data for SbPS2 at its PBEsol-relaxed geometry. Values from VASP.

Calculated values
**E_form (uncorrected)**: 0.388 eV per atom
**Volume**: 154 Å³/cell
**Energy relative to the lowest polymorph listed for this composition**: 225 meV per atom

Cell and atoms, written as Quantum ESPRESSO input:
```
&SYSTEM
  ibrav = 0, nat = 8, ntyp = 3
/
ATOMIC_SPECIES
Sb 121.76 Sb.upf
P 30.97 P.upf
S 32.06 S.upf
CELL_PARAMETERS angstrom
-3.515 3.515 3.122
3.515 -3.515 3.122
3.515 3.515 -3.122
ATOMIC_POSITIONS crystal
Sb 0.000 0.000 0.000
Sb 0.750 0.250 0.500
P 0.250 0.750 0.500
P 0.500 0.500 0.000
S 0.161 0.625 0.036
S 0.375 0.411 0.536
S 0.589 0.125 0.964
S 0.875 0.839 0.464
```



# 9
## ZrTe2Cl (SCAN)

Data for ZrTe2Cl at its PBEsol-relaxed geometry. Values from VASP.

Calculated values
**E_form (uncorrected)**: -0.443 eV per atom
**Volume**: 95 Å³/cell
**Energy relative to the lowest polymorph listed for this composition**: 135 meV per atom

Cell and atoms, written as Quantum ESPRESSO input:
```
&SYSTEM
  ibrav = 0, nat = 4, ntyp = 3
/
ATOMIC_SPECIES
Zr 91.22 Zr.upf
Te 127.60 Te.upf
Cl 35.45 Cl.upf
CELL_PARAMETERS angstrom
2.800 -4.446 0.000
2.800 4.446 0.000
0.000 0.000 3.809
ATOMIC_POSITIONS crystal
Zr 0.000 0.000 0.000
Te 0.000 0.500 0.500
Te 0.500 0.000 0.500
Cl 0.500 0.500 0.000
```



# 10
## KBaOs2 (SCAN)

Data for KBaOs2 at its PBEsol-relaxed geometry. Values from VASP.

Calculated values
**Volume**: 83 Å³/cell
**Energy relative to the lowest polymorph listed for this composition**: 248 meV per atom

Cell and atoms, written as Quantum ESPRESSO input:
```
&SYSTEM
  ibrav = 0, nat = 4, ntyp = 3
/
ATOMIC_SPECIES
K 39.10 K.upf
Ba 137.33 Ba.upf
Os 190.23 Os.upf
CELL_PARAMETERS angstrom
3.728 0.000 0.000
0.000 4.072 0.000
0.000 0.000 5.436
ATOMIC_POSITIONS crystal
K 0.000 0.000 0.000
Ba 0.500 0.500 0.000
Os 0.000 0.500 0.500
Os 0.500 0.000 0.500
```



# 11
## TaMo (SCAN)

Data for TaMo at its PBEsol-relaxed geometry. Values from VASP.

Calculated values
**Volume**: 98 Å³/cell

Cell and atoms, written as Quantum ESPRESSO input:
```
&SYSTEM
  ibrav = 0, nat = 6, ntyp = 2
/
ATOMIC_SPECIES
Ta 180.95 Ta.upf
Mo 95.94 Mo.upf
CELL_PARAMETERS angstrom
2.803 0.000 0.000
0.000 4.487 0.000
-0.050 0.000 7.782
ATOMIC_POSITIONS crystal
Ta 0.000 0.000 0.000
Ta 0.003 0.500 0.492
Ta 0.640 0.000 0.663
Mo 0.328 0.500 0.832
Mo 0.331 0.000 0.326
Mo 0.653 0.500 0.162
```



# 12
## ScSe2O (SCAN)

Data for ScSe2O at its PBEsol-relaxed geometry. Values from VASP.

Calculated values
**E_form (uncorrected)**: -0.484 eV per atom
**Volume**: 170 Å³/cell
**Energy relative to the lowest polymorph listed for this composition**: 0 meV per atom

Cell and atoms, written as Quantum ESPRESSO input:
```
&SYSTEM
  ibrav = 0, nat = 8, ntyp = 3
/
ATOMIC_SPECIES
Sc 44.96 Sc.upf
Se 78.96 Se.upf
O 16.00 O.upf
CELL_PARAMETERS angstrom
-2.589 2.589 6.334
2.589 -2.589 6.334
2.589 2.589 -6.334
ATOMIC_POSITIONS crystal
Sc 0.000 0.000 0.000
Sc 0.750 0.250 0.500
Se 0.197 0.625 0.072
Se 0.375 0.447 0.572
Se 0.553 0.125 0.928
Se 0.875 0.803 0.428
O 0.250 0.750 0.500
O 0.500 0.500 0.000
```



It is found that the density values, taken in the order of the records, are 5.34, 2.65, 5.75, 2.30, 7.50, 3.05, 5.87, 4.67, 6.69, 11.21, 14.09, 4.28 g cm⁻³.
It is found that the magnetic moment values, taken in the order of the records, are 0.000, 1.311, 0.000, 0.000, 0.000, 0.429, 0.000, 0.000, 0.000, 0.001, 0.000, 0.000 μB/atom.
It is found that the energy values, taken in the order of the records, are -21.69, -11.47, -45.93, -8.04, -25.50, -10.28, -24.47, -16.34, -28.74, -46.41, -50.86, -15.64 eV per atom.